[1]
The following is a GGA-PBE calculation of MnPd7Pt3 after structural relaxation, from Alexandria via LeMat-Bulk.

## Properties
For the energy of formation, the calculation gives -0.0205 eV/atom. For the total energy, the calculation gives -5.81 eV per atom. The calculation puts the theoretical density at 12.9 g cm⁻³. For the volume, the calculation gives 16.148 Å³/atom.

Lattice parameters (Å, degrees): 6.7222 5.5239 5.5239 120.00 90.00 90.00
Site moments in Bohr magnetons follow the coordinates.
Positions (direct):
Pd: 0.4546 0.8358 0.6716  0.13
Pd: 0.1164 0.6667 0.3333  0.13
Pd: 0.4546 0.3284 0.1642  0.13
Pd: 0.1146 0.6689 0.8344  0.13
Pd: 0.4546 0.8358 0.1642  0.13
Pd: 0.1146 0.1656 0.8344  0.13
Pd: 0.1146 0.1656 0.3311  0.13
Pt: 0.7810 0.0019 0.5010  0.07
Pt: 0.7810 0.4990 0.5010  0.07
Pt: 0.7810 0.4990 0.9981  0.07
Mn: 0.4481 0.3333 0.6667  3.88

***

[2]
The following is a GGA-PBE calculation of La4PS2N after structural relaxation, from Alexandria via LeMat-Bulk.

## Properties
The formation energy (no corrections) comes out at -14.312 eV/f.u. For the total energy, the calculation gives -7.00 eV per atom. The calculation puts the theoretical density at 5.7 g cm⁻³. For the volume, the calculation gives 24.309 Å³/atom.

Lattice parameters (Å, degrees): 4.0614 7.0640 7.1697 109.02 90.00 90.00
Positions (direct):
La: 0.0000 0.7241 0.2211
La: 0.5000 0.7380 0.7673
La: 0.5000 0.2620 0.2327
La: 0.0000 0.2759 0.7789
N: 0.5000 0.5000 0.0000
P: 0.0000 0.0000 0.0000
S: 0.5000 0.0000 0.5000
S: 0.0000 0.5000 0.5000

***

[3]
The following is a GGA-PBE calculation of Th3Mg2Zn9 after structural relaxation, from Alexandria via LeMat-Bulk.

## Properties
For the energy of formation, the calculation gives -0.2567 eV/atom. For the total energy, the calculation gives -2.89 eV per atom. The calculation puts the theoretical density at 7.9 g cm⁻³. For the volume, the calculation gives 19.895 Å³/atom.

Lattice parameters (Å, degrees): 4.5244 8.9759 8.5030 121.86 105.43 90.00
Positions (direct):
Zn: 0.0000 0.5000 0.0000
Zn: 0.3422 0.7028 0.6845
Zn: 0.6578 0.0183 0.3155
Zn: 0.1432 0.8617 0.2863
Zn: 0.6578 0.2972 0.3155
Zn: 0.3422 0.9817 0.6845
Zn: 0.8568 0.1383 0.7137
Zn: 0.1432 0.4246 0.2863
Zn: 0.8568 0.5754 0.7137
Th: 0.0000 0.0000 0.0000
Th: 0.2866 0.2866 0.5732
Th: 0.7134 0.7134 0.4268
Mg: 0.5000 0.6837 0.0000
Mg: 0.5000 0.3163 0.0000

***

[4]
The following is a GGA-PBE calculation of NdEr2Ag after structural relaxation, from Alexandria via LeMat-Bulk.

## Properties
For the energy of formation, the calculation gives -0.0020 eV/atom. For the total energy, the calculation gives -4.19 eV per atom. The calculation puts the theoretical density at 8.3 g cm⁻³. For the volume, the calculation gives 29.267 Å³/atom.

Lattice parameters (Å, degrees): 3.6147 3.6147 10.5531 80.14 80.14 60.01
Positions (direct):
Ag: 0.6664 0.6664 0.0007
Nd: 0.5001 0.5001 0.4993
Er: 0.2614 0.2614 0.2159
Er: 0.0720 0.0720 0.7841

***

[5]
The following is a GGA-PBE calculation of Dy12Co2Bi5 after structural relaxation, from Alexandria via LeMat-Bulk.

## Properties
For the energy of formation, the calculation gives -0.3632 eV/atom. For the total energy, the calculation gives -5.04 eV per atom. The calculation puts the theoretical density at 8.5 g cm⁻³. For the volume, the calculation gives 32.160 Å³/atom.

Lattice parameters (Å, degrees): 7.5626 9.6226 9.5286 105.24 90.00 113.14
Positions (direct):
Co: 0.2883 0.0000 0.0000
Co: 0.7117 0.0000 0.0000
Dy: 0.5919 0.6980 0.9222
Dy: 0.1226 0.7218 0.4462
Dy: 0.0001 0.0001 0.8312
Dy: 0.8939 0.3020 0.0778
Dy: 0.1061 0.6980 0.9222
Dy: 0.5992 0.7218 0.4462
Dy: 0.8774 0.2782 0.5538
Dy: 0.4972 0.9945 0.7758
Dy: 0.9999 0.9999 0.1688
Dy: 0.5028 0.0055 0.2242
Dy: 0.4081 0.3020 0.0778
Dy: 0.4008 0.2782 0.5538
Bi: 0.0000 0.0000 0.5000
Bi: 0.2839 0.5678 0.6368
Bi: 0.3039 0.6078 0.1672
Bi: 0.6961 0.3922 0.8328
Bi: 0.7161 0.4322 0.3632

***

[6]
The following is a GGA-PBE calculation of U7C5 after structural relaxation, from Alexandria via LeMat-Bulk.

## Properties
For the energy of formation, the calculation gives -0.0372 eV/atom. For the total energy, the calculation gives -10.47 eV per atom. The calculation puts the theoretical density at 15.5 g cm⁻³. For the volume, the calculation gives 15.369 Å³/atom.

Lattice parameters (Å, degrees): 3.1781 6.0970 10.6272 68.33 81.40 74.89
Site moments in Bohr magnetons follow the coordinates.
Positions (direct):
U: 0.7445 0.8503 0.6607  -0.02
U: 0.9718 0.2878 0.7685  0.16
U: 0.0282 0.7122 0.2315  0.16
U: 0.5000 0.5000 0.5000  0.68
U: 0.3435 0.2376 0.0754  -0.04
U: 0.2555 0.1497 0.3393  -0.02
U: 0.6565 0.7624 0.9246  -0.04
C: 0.6832 0.4765 0.1571  0.00
C: 0.0000 0.0000 0.0000  0.00
C: 0.8615 0.8404 0.4366  -0.01
C: 0.3168 0.5235 0.8429  0.00
C: 0.1385 0.1596 0.5634  -0.01

***

[7]
The following is a GGA-PBE calculation of VInHg3 after structural relaxation, from Alexandria via LeMat-Bulk.

## Properties
For the energy of formation, the calculation gives 0.4878 eV/atom. For the total energy, the calculation gives -2.06 eV per atom. The calculation puts the theoretical density at 8.3 g cm⁻³. For the volume, the calculation gives 30.742 Å³/atom.

Lattice parameters (Å, degrees): 5.3568 5.3568 5.3568 90.00 90.00 90.00
Site moments in Bohr magnetons follow the coordinates.
Positions (direct):
In: 0.5000 0.5000 0.5000  0.01
Hg: 0.0000 0.5000 0.0000  0.09
Hg: 0.0000 0.0000 0.5000  0.09
Hg: 0.5000 0.0000 0.0000  0.09
V: 0.0000 0.0000 0.0000  2.79

***

[8]
The following is a GGA-PBE calculation of Al4ZnGa after structural relaxation, from Alexandria via LeMat-Bulk.

## Properties
For the energy of formation, the calculation gives 0.0626 eV/atom. For the total energy, the calculation gives -3.15 eV per atom. The calculation puts the theoretical density at 3.8 g cm⁻³. For the volume, the calculation gives 17.607 Å³/atom.

Lattice parameters (Å, degrees): 3.9890 5.6199 9.6335 90.00 101.95 90.00
Positions (direct):
Zn: 0.4231 0.2500 0.8462
Zn: 0.5769 0.7500 0.1538
Al: 0.8477 0.0023 0.6955
Al: 0.8477 0.4977 0.6955
Al: 0.0000 0.5000 0.0000
Al: 0.1523 0.9977 0.3045
Al: 0.1523 0.5023 0.3045
Al: 0.4252 0.7500 0.8504
Al: 0.5748 0.2500 0.1496
Al: 0.0000 0.0000 0.0000
Ga: 0.2746 0.7500 0.5492
Ga: 0.7254 0.2500 0.4508